1.
This record from Alexandria describes a relaxed structure of CaInAu10. The functional is PBE-GGA.

Lattice parameters (Å, degrees): 4.671 5.672 9.655 90.00 90.00 90.00
Space group Pmmm (No. 47)
One atom of each set of equivalent atoms:
Ca  0.000  0.000  0.000 (multiplicity 1)
In  0.000  0.500  0.500 (multiplicity 1)
Au  0.000  0.000  0.337 (multiplicity 2)
Au  0.000  0.500  0.178 (multiplicity 2)
Au  0.500  0.000  0.500 (multiplicity 1)
Au  0.500  0.244  0.242 (multiplicity 4)
Au  0.500  0.500  0.000 (multiplicity 1)

Output
The calculation puts the final energy at -0.1224 hartree per atom. As for the volume: 255.8 Å³/cell.



2.
This record from Alexandria describes a relaxed structure of TiAgBi2. The functional is PBE-GGA.

Lattice parameters (Å, degrees): 3.4654 3.4654 29.7611 90.00 90.00 120.00
Space group R-3m (No. 166, hexagonal axes)
One atom of each set of equivalent atoms:
Ti  0.0000  0.0000  0.0000 (multiplicity 3)
Ag  0.0000  0.0000  0.5000 (multiplicity 3)
Bi  0.0000  0.0000  0.4051 (multiplicity 6)

Output
The calculation puts the final energy at -0.1659 hartree per atom. As for the volume: 309.5 Å³/cell.



3.
This record from Alexandria describes a relaxed structure of KTi5Te8. The functional is PBE-GGA.

Lattice parameters (Å, degrees): 20.412 3.845 9.843 90.00 104.52 90.00
Space group C2/m (No. 12)
One atom of each set of equivalent atoms:
K  0.000  0.000  0.000 (multiplicity 2)
Ti  0.000  0.500  0.500 (multiplicity 2)
Ti  0.148  0.000  0.500 (multiplicity 4)
Ti  0.209  0.000  0.846 (multiplicity 4)
Te  0.072  0.000  0.686 (multiplicity 4)
Te  0.085  0.500  0.313 (multiplicity 4)
Te  0.160  0.500  0.001 (multiplicity 4)
Te  0.242  0.500  0.656 (multiplicity 4)

Output
The raw formation energy comes out at -0.775 eV per atom. As for the volume: 747.8 Å³/cell.



4.
This record from Alexandria describes a relaxed structure of HfInOs2Se. The functional is PBE-GGA.

Lattice parameters (Å, degrees): 4.589 4.589 5.185 90.00 90.00 90.00
Space group P4/mmm (No. 123)
One atom of each set of equivalent atoms:
Hf  0.000  0.000  0.000 (multiplicity 1)
In  0.500  0.500  0.000 (multiplicity 1)
Os  0.000  0.500  0.500 (multiplicity 2)
Se  0.500  0.500  0.500 (multiplicity 1)

Output
The raw formation energy comes out at 1.286 eV per atom. As for the volume: 109.2 Å³/cell.



5.
This record from Alexandria describes a relaxed structure of InSe2NCl. The functional is PBE-GGA.

Lattice parameters (Å, degrees): 5.258 5.258 3.943 90.00 90.00 90.00
Space group P4/mmm (No. 123)
One atom of each set of equivalent atoms:
In  0.000  0.000  0.000 (multiplicity 1)
Se  0.000  0.500  0.500 (multiplicity 2)
N  0.500  0.500  0.000 (multiplicity 1)
Cl  0.500  0.500  0.500 (multiplicity 1)

Output
The raw formation energy comes out at 1.212 eV per atom. The distance to the lowest polymorph of the same formula comes out at 0.194 eV/atom. As for the volume: 109.0 Å³/cell.



6.
This record from Alexandria describes a relaxed structure of CsBaNaBe2. The functional is PBE-GGA.

Lattice parameters (Å, degrees): 5.788 5.788 6.501 90.00 90.00 90.00
Space group P4/mmm (No. 123)
One atom of each set of equivalent atoms:
Cs  0.000  0.000  0.000 (multiplicity 1)
Ba  0.000  0.000  0.500 (multiplicity 1)
Na  0.500  0.500  0.500 (multiplicity 1)
Be  0.000  0.500  0.000 (multiplicity 2)

Output
The calculation puts the final energy at -0.0294 hartree per atom. As for the volume: 217.8 Å³/cell.



7.
This record from Alexandria describes a relaxed structure of Li2HoZnAu2. The functional is PBE-GGA.

Lattice parameters (Å, degrees): 4.4579 4.4579 6.3317 90.00 90.00 120.00
Space group P-3m1 (No. 164)
One atom of each set of equivalent atoms:
Li  0.3333  0.6667  0.1654 (multiplicity 2)
Ho  0.0000  0.0000  0.5000 (multiplicity 1)
Zn  0.0000  0.0000  0.0000 (multiplicity 1)
Au  0.3333  0.6667  0.7536 (multiplicity 2)

Output
The calculation puts the final energy at -0.1195 hartree per atom. As for the volume: 109.0 Å³/cell.



8.
This record from Alexandria describes a relaxed structure of SrSb. The functional is PBE-GGA.

Lattice parameters (Å, degrees): 5.6980 5.6980 19.1928 90.00 90.00 120.00
Space group R-3m (No. 166, hexagonal axes)
One atom of each set of equivalent atoms:
Sr  0.0000  0.0000  0.2440 (multiplicity 6)
Sb  0.0000  0.0000  0.0748 (multiplicity 6)

Output
The raw formation energy comes out at -0.674 eV per atom. As for the volume: 539.7 Å³/cell.



9.
This record from Alexandria describes a relaxed structure of Ac2Cd3Sn2. The functional is PBE-GGA.

Lattice parameters (Å, degrees): 11.737 5.006 7.409 90.00 109.21 90.00
Space group C2/m (No. 12)
One atom of each set of equivalent atoms:
Ac  0.147  0.000  0.267 (multiplicity 4)
Cd  0.000  0.500  0.500 (multiplicity 2)
Cd  0.096  0.500  0.924 (multiplicity 4)
Sn  0.154  0.000  0.749 (multiplicity 4)

Output
The distance to the lowest polymorph of the same formula comes out at 0.000 eV/atom. As for the volume: 411.1 Å³/cell.



10.
This record from Alexandria describes a relaxed structure of RhI2NCl. The functional is PBE-GGA.

Lattice parameters (Å, degrees): 6.540 6.540 3.281 90.00 90.00 90.00
Space group P4/mmm (No. 123)
One atom of each set of equivalent atoms:
Rh  0.000  0.000  0.000 (multiplicity 1)
I  0.000  0.500  0.500 (multiplicity 2)
N  0.500  0.500  0.000 (multiplicity 1)
Cl  0.500  0.500  0.500 (multiplicity 1)

Output
The raw formation energy comes out at 1.606 eV per atom. The distance to the lowest polymorph of the same formula comes out at 1.103 eV/atom. As for the volume: 140.3 Å³/cell.



11.
This record from Alexandria describes a relaxed structure of Be2ZnCu3. The functional is PBE-GGA.

Lattice parameters (Å, degrees): 2.667 2.667 9.155 90.00 90.00 90.00
Space group P4/mmm (No. 123)
One atom of each set of equivalent atoms:
Be  0.000  0.000  0.148 (multiplicity 2)
Zn  0.000  0.000  0.500 (multiplicity 1)
Cu  0.500  0.500  0.000 (multiplicity 1)
Cu  0.500  0.500  0.299 (multiplicity 2)

Output
The calculation puts the final energy at -0.1322 hartree per atom. As for the volume: 65.1 Å³/cell.



12.
This record from Alexandria describes a relaxed structure of TaNb4Pt. The functional is PBE-GGA.

Lattice parameters (Å, degrees): 2.813 9.365 8.026 90.00 90.07 90.00
Space group P2_1/m (No. 11)
One atom of each set of equivalent atoms:
Ta  0.012  0.250  0.495 (multiplicity 2)
Nb  0.000  0.000  0.000 (multiplicity 2)
Nb  0.333  0.504  0.334 (multiplicity 4)
Nb  0.335  0.250  0.836 (multiplicity 2)
Pt  0.328  0.750  0.831 (multiplicity 2)

Output
The calculation puts the final energy at -0.3647 hartree per atom. As for the volume: 211.4 Å³/cell.



13.
This record from Alexandria describes a relaxed structure of Pm2Pr6SmEr. The functional is PBE-GGA.

Lattice parameters (Å, degrees): 9.327 15.505 9.870 90.00 98.14 90.00
Space group C2/c (No. 15)
One atom of each set of equivalent atoms:
Pm  0.247  0.049  0.044 (multiplicity 8)
Pr  0.063  0.182  0.446 (multiplicity 8)
Pr  0.101  0.394  0.618 (multiplicity 8)
Pr  0.210  0.221  0.810 (multiplicity 8)
Sm  0.000  0.022  0.750 (multiplicity 4)
Er  0.000  0.410  0.250 (multiplicity 4)

Output
The calculation puts the final energy at -0.1703 hartree per atom. As for the volume: 1413.1 Å³/cell.



14.
This record from Alexandria describes a relaxed structure of Cs2RbTlCd. The functional is PBE-GGA.

Lattice parameters (Å, degrees): 7.640 7.640 5.851 90.00 90.00 90.00
Space group P4/mmm (No. 123)
One atom of each set of equivalent atoms:
Cs  0.000  0.500  0.000 (multiplicity 2)
Rb  0.000  0.000  0.500 (multiplicity 1)
Tl  0.500  0.500  0.500 (multiplicity 1)
Cd  0.500  0.500  0.000 (multiplicity 1)

Output
The distance to the lowest polymorph of the same formula comes out at 0.000 eV/atom. As for the volume: 341.5 Å³/cell.



15.
This record from Alexandria describes a relaxed structure of SmGa3Rh. The functional is PBE-GGA.

Lattice parameters (Å, degrees): 6.678 6.696 4.757 90.00 90.00 90.00
Space group Pbam (No. 55)
One atom of each set of equivalent atoms:
Sm  0.000  0.000  0.000 (multiplicity 2)
Ga  0.000  0.500  0.000 (multiplicity 2)
Ga  0.222  0.223  0.500 (multiplicity 4)
Rh  0.000  0.500  0.500 (multiplicity 2)

Output
The distance to the lowest polymorph of the same formula comes out at 0.193 eV/atom. As for the volume: 212.7 Å³/cell.



16.
This record from Alexandria describes a relaxed structure of CsBa2LiNi. The functional is PBE-GGA.

Lattice parameters (Å, degrees): 6.088 6.088 5.963 90.00 90.00 90.00
Space group P4/mmm (No. 123)
One atom of each set of equivalent atoms:
Cs  0.000  0.000  0.000 (multiplicity 1)
Ba  0.000  0.500  0.500 (multiplicity 2)
Li  0.500  0.500  0.000 (multiplicity 1)
Ni  0.500  0.500  0.500 (multiplicity 1)

Output
The calculation puts the final energy at -0.0832 hartree per atom. As for the volume: 221.0 Å³/cell.



17.
This record from Alexandria describes a relaxed structure of Hf3SiH3. The functional is PBE-GGA.

Lattice parameters (Å, degrees): 5.9459 5.9459 17.8792 90.00 90.00 120.00
Space group R-3 (No. 148, hexagonal axes)
One atom of each set of equivalent atoms:
Hf  0.9999  0.3208  0.0900 (multiplicity 18)
Si  0.0000  0.0000  0.3335 (multiplicity 6)
H  0.0007  0.6551  0.1295 (multiplicity 18)

Output
The calculation puts the final energy at -0.2527 hartree per atom. As for the volume: 547.4 Å³/cell.



18.
This record from Alexandria describes a relaxed structure of Nd2Ga5Pd5. The functional is PBE-GGA.

Lattice parameters (Å, degrees): 4.316 5.392 9.502 90.00 90.00 90.00
Space group Pmmm (No. 47)
One atom of each set of equivalent atoms:
Nd  0.000  0.000  0.000 (multiplicity 1)
Nd  0.000  0.500  0.500 (multiplicity 1)
Ga  0.500  0.000  0.500 (multiplicity 1)
Ga  0.500  0.246  0.236 (multiplicity 4)
Pd  0.000  0.000  0.337 (multiplicity 2)
Pd  0.000  0.500  0.189 (multiplicity 2)
Pd  0.500  0.500  0.000 (multiplicity 1)

Output
The calculation puts the final energy at -0.1830 hartree per atom. As for the volume: 221.1 Å³/cell.



19.
This record from Alexandria describes a relaxed structure of Li4CaAgSn2. The functional is PBE-GGA.

Lattice parameters (Å, degrees): 4.7977 4.7977 23.6798 90.00 90.00 120.00
Space group R-3m (No. 166, hexagonal axes)
One atom of each set of equivalent atoms:
Li  0.0000  0.0000  0.1123 (multiplicity 6)
Li  0.0000  0.0000  0.3674 (multiplicity 6)
Ca  0.0000  0.0000  0.5000 (multiplicity 3)
Ag  0.0000  0.0000  0.0000 (multiplicity 3)
Sn  0.0000  0.0000  0.2469 (multiplicity 6)

Output
The calculation puts the final energy at -0.1078 hartree per atom. As for the volume: 472.0 Å³/cell.



20.
This record from Alexandria describes a relaxed structure of Pm2Ga4Cu3Ru. The functional is PBE-GGA.

Lattice parameters (Å, degrees): 4.126 4.126 10.549 90.00 90.00 90.00
Space group P-4m2 (No. 115)
One atom of each set of equivalent atoms:
Pm  0.000  0.500  0.249 (multiplicity 2)
Ga  0.000  0.000  0.000 (multiplicity 1)
Ga  0.000  0.500  0.634 (multiplicity 2)
Ga  0.500  0.500  0.000 (multiplicity 1)
Cu  0.000  0.500  0.866 (multiplicity 2)
Cu  0.500  0.500  0.500 (multiplicity 1)
Ru  0.000  0.000  0.500 (multiplicity 1)

Output
The calculation puts the final energy at -0.1748 hartree per atom. As for the volume: 179.6 Å³/cell.



21.
This record from Alexandria describes a relaxed structure of HoZn2Cu. The functional is PBE-GGA.

Lattice parameters (Å, degrees): 6.506 6.506 6.506 90.00 90.00 90.00
Space group Fm-3m (No. 225)
One atom of each set of equivalent atoms:
Ho  0.000  0.000  0.000 (multiplicity 4)
Zn  0.250  0.250  0.250 (multiplicity 8)
Cu  0.000  0.000  0.500 (multiplicity 4)

Output
The calculation puts the final energy at -0.1112 hartree per atom. As for the volume: 275.3 Å³/cell.



22.
This record from Alexandria describes a relaxed structure of Tb6Ru2Pt. The functional is PBE-GGA.

Lattice parameters (Å, degrees): 9.416 9.460 10.021 90.00 90.00 90.00
Space group Immm (No. 71)
One atom of each set of equivalent atoms:
Tb  0.000  0.189  0.248 (multiplicity 8)
Tb  0.187  0.500  0.330 (multiplicity 8)
Tb  0.231  0.322  0.000 (multiplicity 8)
Ru  0.000  0.327  0.500 (multiplicity 4)
Ru  0.000  0.500  0.124 (multiplicity 4)
Pt  0.000  0.000  0.000 (multiplicity 2)
Pt  0.000  0.000  0.500 (multiplicity 2)

Output
The distance to the lowest polymorph of the same formula comes out at 0.000 eV/atom. As for the volume: 892.6 Å³/cell.



23.
This record from Alexandria describes a relaxed structure of BaLi2In2. The functional is PBE-GGA.

Lattice parameters (Å, degrees): 8.914 8.914 3.455 90.00 90.00 90.00
Space group P4/mbm (No. 127)
One atom of each set of equivalent atoms:
Ba  0.000  0.000  0.000 (multiplicity 2)
Li  0.169  0.331  0.500 (multiplicity 4)
In  0.120  0.620  0.000 (multiplicity 4)

Output
The distance to the lowest polymorph of the same formula comes out at 0.140 eV/atom. As for the volume: 274.5 Å³/cell.



24.
This record from Alexandria describes a relaxed structure of LiCo2Mo. The functional is PBE-GGA.

Lattice parameters (Å, degrees): 9.032 2.564 4.434 90.00 103.91 90.00
Space group Cm (No. 8)
One atom of each set of equivalent atoms:
Li  0.000  0.000  0.000 (multiplicity 2)
Co  0.037  0.500  0.526 (multiplicity 2)
Co  0.243  0.000  0.829 (multiplicity 2)
Mo  0.284  0.500  0.345 (multiplicity 2)

Output
The distance to the lowest polymorph of the same formula comes out at 0.059 eV/atom. As for the volume: 99.7 Å³/cell.